The following is a DFT calculation (PBE) of a relaxed structure of PRuOF2.

```
data_PRuOF2
_chemical_formula_sum 'P1 Ru1 O1 F2'
_cell_length_a 4.466
_cell_length_b 4.466
_cell_length_c 3.416
_cell_angle_alpha 90.00
_cell_angle_beta 90.00
_cell_angle_gamma 90.00
_space_group_name_H-M_alt 'P 4/m m m'
_space_group_IT_number 123
_space_group_name_Hall '-P 4 2'
loop_
_atom_site_label
_atom_site_type_symbol
_atom_site_fract_x
_atom_site_fract_y
_atom_site_fract_z
P1 P 0.000 0.000 0.000
Ru1 Ru 0.500 0.500 0.500
O1 O 0.000 0.000 0.500
F1 F 0.000 0.500 0.000
```

Calculated values
volume	13.6	Å³/atom
DOS(E_F)	0.989	states/eV/f.u.
ΔE_f (raw)	-1.3	eV per formula unit
total DFT energy (no corrections)	-4.9297	eV per atom
E above lowest polymorph	0.013	eV per atom